# LaSiSN2 (PBE, relaxed)
data_LaSiSN2
_space_group_name_H-M_alt 'P 1'
_space_group_IT_number 1
_space_group_name_Hall 'P 1'
_cell_length_a 3.854
_cell_length_b 3.854
_cell_length_c 4.656
_cell_angle_alpha 90.00
_cell_angle_beta 90.00
_cell_angle_gamma 90.00
loop_
_atom_site_label
_atom_site_type_symbol
_atom_site_fract_x
_atom_site_fract_y
_atom_site_fract_z
La1 La 0.000 0.000 0.000
Si1 Si 0.500 0.500 0.500
S1 S 0.500 0.500 0.000
N1 N 0.000 0.500 0.500
N2 N 0.500 0.000 0.500
# Relative energy among the computed polymorphs   0.000 eV per atom
# Spin magnetization   0.5 μB per formula unit
# Raw formation energy   -0.555 eV/atom